VASP calculation (PBE with a Hubbard U) on a relaxed AcFeB2O6 crystal.

Total magnetization ... 4.966 μB/f.u.
Crystal system ... monoclinic
Total DFT energy (no corrections) ... -7.772 eV/atom

Cell: 8.310 9.536 6.441 Å, 90.00 107.01 90.00°
Space group C2/c (No. 15)
Inequivalent atoms, fractional coordinates:
Ac: 0.000 0.124 0.250
Fe: 0.000 0.321 0.750
B: 0.213 0.412 0.209
O: 0.096 0.324 0.076
O: 0.130 0.142 0.670
O: 0.192 0.446 0.733